A plane-wave DFT calculation with GGA-PBE was carried out for a geometry-optimized LaNd structure.

## Properties
The value obtained for the polymorph energy (0 for the lowest one) is 0.5399 eV per atom. The value obtained for the total energy is -4.274 eV per atom. The calculated density comes out at 6.4 g/cm3.

The structure in extended XYZ format:
```
2
Lattice="0.000 3.323 3.323 3.323 0.000 3.323 3.323 3.323 0.000" Properties=species:S:1:pos:R:3 pbc="T T T"
La 0.000 0.000 0.000
Nd 3.323 3.323 3.323
```